Entry 1:
# Rb2ScGeAs, relaxed, DFT PBE
# DFT formation energy: 0.43 eV/atom
# Fermi-level density of states: 0.96 states/eV/atom
data_Rb2ScGeAs
_symmetry_space_group_name_H-M 'P 4/m m m'
_symmetry_Int_Tables_number 123
_symmetry_space_group_name_Hall '-P 4 2'
_cell_length_a 6.436
_cell_length_b 6.436
_cell_length_c 5.204
_cell_angle_alpha 90.00
_cell_angle_beta 90.00
_cell_angle_gamma 90.00
loop_
_atom_site_label
_atom_site_type_symbol
_atom_site_fract_x
_atom_site_fract_y
_atom_site_fract_z
_atom_site_occupancy
Rb1 Rb 0.000 0.500 0.000 1
Sc1 Sc 0.000 0.000 0.500 1
Ge1 Ge 0.000 0.000 0.000 1
As1 As 0.500 0.500 0.500 1

***

Entry 2:
# Rb2GeAsSe4, relaxed, DFT PBE
# formation energy (no corrections): -0.55 eV/atom
# Fermi-level density of states: 0.32 states/eV/atom
data_Rb2GeAsSe4
_symmetry_space_group_name_H-M 'F d d d'
_symmetry_Int_Tables_number 70
_cell_length_a 6.389
_cell_length_b 14.594
_cell_length_c 23.973
_cell_angle_alpha 90.00
_cell_angle_beta 90.00
_cell_angle_gamma 90.00
loop_
_symmetry_equiv_pos_as_xyz
'x,y,z'
'-x,-y,-z'
'-x+1/4,-y+1/4,z'
'x+1/4,y+1/4,-z'
'x,-y+1/4,-z+1/4'
'-x,y+1/4,z+1/4'
'-x+1/4,y,-z+1/4'
'x+1/4,-y,z+1/4'
'x,y+1/2,z+1/2'
'-x,-y+1/2,-z+1/2'
'-x+1/4,-y+3/4,z+1/2'
'x+1/4,y+3/4,-z+1/2'
'x,-y+3/4,-z+3/4'
'-x,y+3/4,z+3/4'
'-x+1/4,y+1/2,-z+3/4'
'x+1/4,-y+1/2,z+3/4'
'x+1/2,y,z+1/2'
'-x+1/2,-y,-z+1/2'
'-x+3/4,-y+1/4,z+1/2'
'x+3/4,y+1/4,-z+1/2'
'x+1/2,-y+1/4,-z+3/4'
'-x+1/2,y+1/4,z+3/4'
'-x+3/4,y,-z+3/4'
'x+3/4,-y,z+3/4'
'x+1/2,y+1/2,z'
'-x+1/2,-y+1/2,-z'
'-x+3/4,-y+3/4,z'
'x+3/4,y+3/4,-z'
'x+1/2,-y+3/4,-z+1/4'
'-x+1/2,y+3/4,z+1/4'
'-x+3/4,y+1/2,-z+1/4'
'x+3/4,-y+1/2,z+1/4'
loop_
_atom_site_label
_atom_site_type_symbol
_atom_site_fract_x
_atom_site_fract_y
_atom_site_fract_z
_atom_site_occupancy
Rb1 Rb 0.125 0.125 0.307 1
Ge1 Ge 0.125 0.125 0.625 1
As1 As 0.125 0.125 0.125 1
Se1 Se 0.124 0.275 0.434 1

***

Entry 3:
# RbSrGeAs2, relaxed, DFT PBE
# DFT formation energy: 0.73 eV/atom
# Fermi-level density of states: 1.14 states/eV/atom
data_RbSrGeAs2
_symmetry_space_group_name_H-M 'P 4/m m m'
_symmetry_Int_Tables_number 123
_symmetry_space_group_name_Hall '-P 4 2'
_cell_length_a 5.707
_cell_length_b 5.707
_cell_length_c 6.057
_cell_angle_alpha 90.00
_cell_angle_beta 90.00
_cell_angle_gamma 90.00
loop_
_atom_site_label
_atom_site_type_symbol
_atom_site_fract_x
_atom_site_fract_y
_atom_site_fract_z
_atom_site_occupancy
Rb1 Rb 0.000 0.000 0.000 1
Sr1 Sr 0.000 0.000 0.500 1
Ge1 Ge 0.500 0.500 0.000 1
As1 As 0.000 0.500 0.500 1